This record from Alexandria describes a relaxed PaGa3Pt crystal. The functional is PBE.

```
5
Lattice="3.019 -3.020 0.000 3.019 3.020 0.000 -3.012 0.000 5.199" Properties=species:S:1:pos:R:3 pbc="T T T"
Pa 0.000 0.000 0.000
Ga 1.508 1.507 2.424
Ga 3.020 0.000 0.911
Ga 1.508 -1.507 2.424
Pt -0.003 0.000 3.711
```

V	18.96	A^3/atom
DFT total energy	-5.49	eV/atom
space-group type	Cm (8)
DFT formation energy	-0.5708	eV/atom
total moment	0.026	μB per cell